Record 1
# PBE U3B7Rh, relaxed
# total moment = 4.97 μB/f.u.
# ΔE_f = -0.355 eV per atom
# crystal system = orthorhombic
# DOS(E_F) = 15.32 states/eV/f.u.
data_U3B7Rh
_chemical_formula_sum 'U12 B28 Rh4'
_cell_length_a 3.417
_cell_length_b 15.694
_cell_length_c 9.376
_cell_angle_alpha 90.00
_cell_angle_beta 90.00
_cell_angle_gamma 90.00
_symmetry_space_group_name_H-M 'C m c m'
_symmetry_Int_Tables_number 63
_symmetry_space_group_name_Hall '-C 2c 2'
loop_
_atom_site_label
_atom_site_type_symbol
_atom_site_fract_x
_atom_site_fract_y
_atom_site_fract_z
_atom_site_occupancy
U1 U 0.000 0.108 0.066 1
U2 U 0.000 0.257 0.750 1
B1 B 0.000 0.274 0.032 1
B2 B 0.000 0.363 0.151 1
B3 B 0.000 0.459 0.750 1
B4 B 0.000 0.479 0.088 1
Rh1 Rh 0.000 0.058 0.750 1



Record 2
# PBE UB4Rh, relaxed
# total moment = 1.49 μB/f.u.
# ΔE_f = -0.486 eV per atom
# crystal system = orthorhombic
# DOS(E_F) = 5.84 states/eV/f.u.
data_UB4Rh
_chemical_formula_sum 'U4 B16 Rh4'
_cell_length_a 5.999
_cell_length_b 11.641
_cell_length_c 3.515
_cell_angle_alpha 90.00
_cell_angle_beta 90.00
_cell_angle_gamma 90.00
_symmetry_space_group_name_H-M 'P b a m'
_symmetry_Int_Tables_number 55
_symmetry_space_group_name_Hall '-P 2 2ab'
loop_
_atom_site_label
_atom_site_type_symbol
_atom_site_fract_x
_atom_site_fract_y
_atom_site_fract_z
_atom_site_occupancy
U1 U 0.128 0.150 0.000 1
B1 B 0.027 0.694 0.500 1
B2 B 0.116 0.547 0.500 1
B3 B 0.131 0.967 0.500 1
B4 B 0.211 0.811 0.500 1
Rh1 Rh 0.138 0.409 0.000 1



Record 3
# PBE UBRh, relaxed
# total moment = 0.75 μB/f.u.
# ΔE_f = -0.238 eV per atom
# crystal system = orthorhombic
# DOS(E_F) = 3.49 states/eV/f.u.
data_UBRh
_chemical_formula_sum 'U4 B4 Rh4'
_cell_length_a 3.734
_cell_length_b 12.723
_cell_length_c 3.783
_cell_angle_alpha 90.00
_cell_angle_beta 90.00
_cell_angle_gamma 90.00
_symmetry_space_group_name_H-M 'C m c m'
_symmetry_Int_Tables_number 63
_symmetry_space_group_name_Hall '-C 2c 2'
loop_
_atom_site_label
_atom_site_type_symbol
_atom_site_fract_x
_atom_site_fract_y
_atom_site_fract_z
_atom_site_occupancy
U1 U 0.000 0.068 0.250 1
B1 B 0.000 0.347 0.250 1
Rh1 Rh 0.000 0.259 0.750 1